1.
# LaTbSc

LaTbSc after structural relaxation (PBE-GGA, Alexandria).

a b c (Å): 3.4430 5.5805 5.5805
angles (deg): 120.00 90.00 90.00
Last column: nearest neighbours and their distance in Å.
Fractional coordinates of all 3 atoms:
Tb 0.1657 0.0000 0.0000  3 Sc 3.22, 2 Tb 3.44
Sc 0.1678 0.3333 0.6667  3 Tb 3.22, 2 Sc 3.44
La 0.6665 0.6667 0.3333  2 La 3.44, 6 Sc 3.65-3.66, 6 Tb 3.65

Computed properties:
Crystal system ... trigonal
E_form ... 0.088 eV/atom
Calculated total energy ... -5.208 eV per atom
Symmetry ... No. 156
E above lowest polymorph ... 0.024 eV per atom

=====

2.
# La4Tb3Sc2

La4Tb3Sc2 after structural relaxation (PBE-GGA, Alexandria).

a b c (Å): 3.6354 6.6912 14.3753
angles (deg): 63.58 90.00 105.76
Last column: nearest neighbours and their distance in Å.
Fractional coordinates of all 9 atoms:
La 0.1106 0.2213 0.6127  5 Tb 3.45-3.68, 2 Sc 3.47, 2 La 3.64
La 0.8894 0.7787 0.3873  5 Tb 3.45-3.68, 2 Sc 3.47, 2 La 3.64
La 0.6521 0.3043 0.1268  4 Tb 3.56-3.98, 3 Sc 3.59-3.67, 4 La 3.64-3.80
La 0.3479 0.6957 0.8732  4 Tb 3.56-3.98, 3 Sc 3.59-3.67, 4 La 3.64-3.80
Sc 0.3367 0.6733 0.2076  4 Tb 3.29-3.31, 5 La 3.47-3.67, 2 Sc 3.64
Sc 0.6633 0.3267 0.7924  4 Tb 3.29-3.31, 5 La 3.47-3.67, 2 Sc 3.64
Tb 0.3780 0.7559 0.6142  2 Sc 3.31, 3 Tb 3.33-3.64, 6 La 3.45-3.68
Tb 0.6220 0.2441 0.3858  2 Sc 3.31, 3 Tb 3.33-3.64, 6 La 3.45-3.68
Tb 0.0000 0.0000 0.0000  4 Sc 3.29, 2 Tb 3.64

Computed properties:
Crystal system ... monoclinic
E_form ... 0.094 eV/atom
Calculated total energy ... -5.046 eV per atom
Symmetry ... No. 12

=====

3.
# La8Tb5Sc

La8Tb5Sc after structural relaxation (PBE-GGA, Alexandria).

a b c (Å): 8.9254 9.0596 8.9255
angles (deg): 122.20 122.93 85.22
Last column: nearest neighbours and their distance in Å.
Fractional coordinates of all 14 atoms:
Tb 0.2669 0.9595 0.0295  3 Tb 3.34-3.52, 1 Sc 3.44, 4 La 3.47-3.65
Tb 0.5011 0.0000 0.5011  4 Tb 3.34-3.57, 2 La 3.52
Tb 0.7999 0.7360 0.6343  5 La 3.38-3.67, 2 Tb 3.42-3.57
Tb 0.0701 0.0405 0.3074  3 Tb 3.34-3.52, 1 Sc 3.44, 4 La 3.47-3.65
Tb 0.8983 0.2640 0.0639  5 La 3.38-3.67, 2 Tb 3.42-3.57
La 0.4370 0.4139 0.4840  1 Sc 3.37, 1 La 3.46, 2 Tb 3.50-3.67
La 0.1127 0.7144 0.4881  1 Sc 3.19, 4 La 3.33-3.48, 2 Tb 3.41-3.47
La 0.4225 0.3164 0.9795  1 Sc 3.36, 4 La 3.39-3.51
La 0.9561 0.0739 0.6491  4 La 3.33-3.51, 5 Tb 3.38-3.65
La 0.5752 0.9261 0.8822  4 La 3.33-3.51, 5 Tb 3.38-3.65
La 0.6631 0.6836 0.1061  1 Sc 3.36, 4 La 3.39-3.51
La 0.7737 0.2856 0.3983  1 Sc 3.19, 4 La 3.33-3.48, 2 Tb 3.41-3.47
La 0.0701 0.5861 0.0231  1 Sc 3.37, 1 La 3.46, 2 Tb 3.50-3.67
Sc 0.2033 0.5000 0.7033  6 La 3.19-3.37, 2 Tb 3.44

Computed properties:
Crystal system ... monoclinic
E_form ... 0.164 eV/atom
Calculated total energy ... -4.757 eV per atom
Symmetry ... No. 5

=====

4.
# La5TbSc2

La5TbSc2 after structural relaxation (PBE-GGA, Alexandria).

a b c (Å): 5.4582 6.5492 16.5638
angles (deg): 90.00 90.00 114.63
Last column: nearest neighbours and their distance in Å.
Fractional coordinates of all 16 atoms:
Tb 0.7572 0.5144 0.7500  4 Sc 3.20, 3 La 3.29-3.40
Tb 0.2428 0.4856 0.2500  4 Sc 3.20, 3 La 3.29-3.40
Sc 0.7688 0.5377 0.3494  2 Tb 3.20, 1 Sc 3.29, 5 La 3.39-3.47
Sc 0.7688 0.5377 0.1506  2 Tb 3.20, 1 Sc 3.29, 5 La 3.39-3.47
Sc 0.2312 0.4623 0.6506  2 Tb 3.20, 1 Sc 3.29, 5 La 3.39-3.47
Sc 0.2312 0.4623 0.8494  2 Tb 3.20, 1 Sc 3.29, 5 La 3.39-3.47
La 0.0452 0.0904 0.1018  1 Sc 3.39, 1 Tb 3.40, 7 La 3.54-3.76
La 0.9548 0.9096 0.8982  1 Sc 3.39, 1 Tb 3.40, 7 La 3.54-3.76
La 0.6464 0.2928 0.9636  3 Sc 3.42-3.47, 6 La 3.69-3.83, 1 Tb 3.78
La 0.5190 0.0381 0.2500  1 Tb 3.29, 2 Sc 3.40
La 0.9548 0.9096 0.6018  1 Sc 3.39, 1 Tb 3.40, 7 La 3.54-3.76
La 0.0452 0.0904 0.3982  1 Sc 3.39, 1 Tb 3.40, 7 La 3.54-3.76
La 0.6464 0.2928 0.5364  3 Sc 3.42-3.47, 6 La 3.69-3.83, 1 Tb 3.78
La 0.3536 0.7072 0.0364  3 Sc 3.42-3.47, 6 La 3.69-3.83, 1 Tb 3.78
La 0.4810 0.9619 0.7500  1 Tb 3.29, 2 Sc 3.40
La 0.3536 0.7072 0.4636  3 Sc 3.42-3.47, 6 La 3.69-3.83, 1 Tb 3.78

Computed properties:
Crystal system ... orthorhombic
E_form ... 0.118 eV/atom
Calculated total energy ... -5.123 eV per atom
Symmetry ... No. 63

=====

5.
# La12Tb6Sc

La12Tb6Sc after structural relaxation (PBE-GGA, Alexandria).

a b c (Å): 9.6590 9.6590 9.6590
angles (deg): 110.79 110.79 110.79
Last column: nearest neighbours and their distance in Å.
Fractional coordinates of all 19 atoms:
La 0.6267 0.9425 0.4176  8 La 3.63-3.70, 4 Tb 3.64-3.71
La 0.2606 0.8971 0.8448  1 Sc 3.60, 8 La 3.60-3.70, 3 Tb 3.65-3.75
La 0.1029 0.1552 0.7394  1 Sc 3.60, 8 La 3.60-3.70, 3 Tb 3.65-3.75
La 0.8448 0.2606 0.8971  1 Sc 3.60, 8 La 3.60-3.70, 3 Tb 3.65-3.75
La 0.8971 0.8448 0.2606  1 Sc 3.60, 8 La 3.60-3.70, 3 Tb 3.65-3.75
La 0.4176 0.6267 0.9425  8 La 3.63-3.70, 4 Tb 3.64-3.71
La 0.0575 0.5824 0.3733  8 La 3.63-3.70, 4 Tb 3.64-3.71
La 0.5824 0.3733 0.0575  8 La 3.63-3.70, 4 Tb 3.64-3.71
La 0.3733 0.0575 0.5824  8 La 3.63-3.70, 4 Tb 3.64-3.71
La 0.9425 0.4176 0.6267  8 La 3.63-3.70, 4 Tb 3.64-3.71
La 0.1552 0.7394 0.1029  1 Sc 3.60, 8 La 3.60-3.70, 3 Tb 3.65-3.75
La 0.7394 0.1029 0.1552  1 Sc 3.60, 8 La 3.60-3.70, 3 Tb 3.65-3.75
Tb 0.5314 0.7869 0.6849  4 Tb 3.54-3.65, 1 Sc 3.63, 7 La 3.64-3.75
Tb 0.7869 0.6849 0.5314  4 Tb 3.54-3.65, 1 Sc 3.63, 7 La 3.64-3.75
Tb 0.2131 0.3151 0.4686  4 Tb 3.54-3.65, 1 Sc 3.63, 7 La 3.64-3.75
Tb 0.4686 0.2131 0.3151  4 Tb 3.54-3.65, 1 Sc 3.63, 7 La 3.64-3.75
Tb 0.3151 0.4686 0.2131  4 Tb 3.54-3.65, 1 Sc 3.63, 7 La 3.64-3.75
Tb 0.6849 0.5314 0.7869  4 Tb 3.54-3.65, 1 Sc 3.63, 7 La 3.64-3.75
Sc 0.0000 0.0000 0.0000  6 La 3.60, 6 Tb 3.63

Computed properties:
Crystal system ... trigonal
E_form ... 0.031 eV/atom
Calculated total energy ... -4.876 eV per atom
Symmetry ... No. 148

=====

6.
# La2Tb3Sc4

La2Tb3Sc4 after structural relaxation (PBE-GGA, Alexandria).

a b c (Å): 5.4058 6.6551 8.6010
angles (deg): 112.30 108.32 90.00
Last column: nearest neighbours and their distance in Å.
Fractional coordinates of all 9 atoms:
Tb 0.8905 0.3727 0.7811  2 Tb 3.29-3.59, 5 Sc 3.33-3.55, 1 La 3.40
Tb 0.0000 0.0000 0.0000  4 Sc 3.33, 2 Tb 3.59
Tb 0.1095 0.6273 0.2189  2 Tb 3.29-3.59, 5 Sc 3.33-3.55, 1 La 3.40
Sc 0.5340 0.3159 0.0681  2 Sc 3.07-3.30, 2 La 3.22-3.34, 4 Tb 3.33
Sc 0.2498 0.3747 0.4996  3 Sc 3.17-3.30, 3 Tb 3.34-3.55, 3 La 3.39-3.53
Sc 0.4660 0.6841 0.9319  2 Sc 3.07-3.30, 2 La 3.22-3.34, 4 Tb 3.33
Sc 0.7502 0.6253 0.5004  3 Sc 3.17-3.30, 3 Tb 3.34-3.55, 3 La 3.39-3.53
La 0.3317 0.9529 0.6635  6 Sc 3.22-3.56, 1 Tb 3.40
La 0.6683 0.0471 0.3365  6 Sc 3.22-3.56, 1 Tb 3.40

Computed properties:
Crystal system ... monoclinic
E_form ... 0.085 eV/atom
Calculated total energy ... -5.367 eV per atom
Symmetry ... No. 12

=====

7.
# La2TbSc

La2TbSc after structural relaxation (PBE-GGA, Alexandria).

a b c (Å): 3.5800 3.5800 11.7745
angles (deg): 81.26 81.26 60.00
Last column: nearest neighbours and their distance in Å.
Fractional coordinates of all 4 atoms:
La 0.2460 0.2460 0.2619  3 Sc 3.47, 6 La 3.58, 3 Tb 3.72
La 0.0864 0.0864 0.7408  3 Sc 3.45, 6 La 3.58, 3 Tb 3.60
Tb 0.6683 0.6683 0.9951  6 Tb 3.58, 6 La 3.60-3.72
Sc 0.4993 0.4993 0.5022  6 La 3.45-3.47, 6 Sc 3.58

Computed properties:
Crystal system ... trigonal
E_form ... 0.067 eV/atom
Calculated total energy ... -5.137 eV per atom
Symmetry ... No. 160
E above lowest polymorph ... 0.026 eV per atom

=====

8.
# LaTbSc2

LaTbSc2 after structural relaxation (PBE-GGA, Alexandria).

a b c (Å): 4.6892 6.0202 6.9087
angles (deg): 124.97 132.77 67.08
Last column: nearest neighbours and their distance in Å.
Fractional coordinates of all 4 atoms:
Sc 0.5322 0.5387 0.3212  4 Sc 3.34-3.60, 4 Tb 3.38-3.56, 4 La 3.45-3.46
Sc 0.0319 0.0206 0.5622  4 Sc 3.34-3.60, 4 La 3.41-3.53, 4 Tb 3.45-3.46
La 0.5317 0.5235 0.8137  8 Sc 3.41-3.53, 4 Tb 3.46-3.48
Tb 0.0326 0.0455 0.0749  8 Sc 3.38-3.56, 4 La 3.46-3.48

Computed properties:
Crystal system ... orthorhombic
E_form ... 0.084 eV/atom
Calculated total energy ... -5.471 eV per atom
Symmetry ... No. 44
E above lowest polymorph ... 0.023 eV per atom

=====

9.
# La8Tb6Sc

La8Tb6Sc after structural relaxation (PBE-GGA, Alexandria).

a b c (Å): 6.6773 9.4113 9.4113
angles (deg): 120.00 90.00 90.00
Last column: nearest neighbours and their distance in Å.
Fractional coordinates of all 15 atoms:
La 0.8246 0.7147 0.7599  3 La 3.26-3.43, 1 Sc 3.31, 3 Tb 3.34-3.65
La 0.8246 0.2401 0.9548  3 La 3.26-3.43, 1 Sc 3.31, 3 Tb 3.34-3.65
La 0.8766 0.3333 0.6667  3 La 3.26
La 0.1754 0.9548 0.7147  3 La 3.26-3.43, 1 Sc 3.31, 3 Tb 3.34-3.65
La 0.1754 0.7599 0.0452  3 La 3.26-3.43, 1 Sc 3.31, 3 Tb 3.34-3.65
La 0.1234 0.6667 0.3333  3 La 3.26
La 0.1754 0.2853 0.2401  3 La 3.26-3.43, 1 Sc 3.31, 3 Tb 3.34-3.65
La 0.8246 0.0452 0.2853  3 La 3.26-3.43, 1 Sc 3.31, 3 Tb 3.34-3.65
Tb 0.6541 0.6601 0.0978  5 La 3.34-3.70, 1 Tb 3.34
Tb 0.6541 0.4377 0.3399  5 La 3.34-3.70, 1 Tb 3.34
Tb 0.3459 0.0978 0.4377  5 La 3.34-3.70, 1 Tb 3.34
Tb 0.6541 0.9022 0.5623  5 La 3.34-3.70, 1 Tb 3.34
Tb 0.3459 0.5623 0.6601  5 La 3.34-3.70, 1 Tb 3.34
Tb 0.3459 0.3399 0.9022  5 La 3.34-3.70, 1 Tb 3.34
Sc 0.5000 0.0000 0.0000  6 La 3.31

Computed properties:
Crystal system ... trigonal
E_form ... 0.159 eV/atom
Calculated total energy ... -4.743 eV per atom
Symmetry ... No. 147

=====

10.
# La6TbSc

La6TbSc after structural relaxation (PBE-GGA, Alexandria).

a b c (Å): 5.1549 5.1549 10.3146
angles (deg): 90.00 90.00 90.00
Last column: nearest neighbours and their distance in Å.
Fractional coordinates of all 8 atoms:
La 0.5000 0.5000 0.5000  8 La 3.62, 4 Sc 3.65
La 0.5000 0.0000 0.2542  8 La 3.62-3.68, 2 Sc 3.62, 2 Tb 3.68
La 0.5000 0.5000 0.0000  4 Tb 3.65, 8 La 3.68
La 0.5000 0.0000 0.7458  8 La 3.62-3.68, 2 Sc 3.62, 2 Tb 3.68
La 0.0000 0.5000 0.7458  8 La 3.62-3.68, 2 Sc 3.62, 2 Tb 3.68
La 0.0000 0.5000 0.2542  8 La 3.62-3.68, 2 Sc 3.62, 2 Tb 3.68
Sc 0.0000 0.0000 0.5000  12 La 3.62-3.65
Tb 0.0000 0.0000 0.0000  12 La 3.65-3.68

Computed properties:
Crystal system ... tetragonal
E_form ... 0.020 eV/atom
Calculated total energy ... -5.045 eV per atom
Symmetry ... No. 123
E above lowest polymorph ... 0.000 eV per atom

=====

11.
# LaTb3Sc2

LaTb3Sc2 after structural relaxation (PBE-GGA, Alexandria).

a b c (Å): 6.5358 6.5358 10.2567
angles (deg): 90.01 90.00 120.00
Last column: nearest neighbours and their distance in Å.
Fractional coordinates of all 12 atoms:
Sc 0.6666 0.3333 0.4353  9 Tb 3.56-3.69, 1 La 3.75, 3 Sc 3.83
Sc 0.0000 0.0000 0.0000  6 Tb 3.36
Sc 0.0000 0.0000 0.5000  6 Tb 3.07
Sc 0.3334 0.6667 0.5647  9 Tb 3.56-3.69, 1 La 3.75, 3 Sc 3.83
Tb 0.1712 0.3424 0.2675  2 Sc 3.07-3.36, 4 Tb 3.18-3.36
Tb 0.6576 0.8288 0.2674  2 Sc 3.07-3.36, 4 Tb 3.18-3.36
Tb 0.3424 0.1712 0.7326  2 Sc 3.07-3.36, 4 Tb 3.18-3.36
Tb 0.8288 0.1712 0.7326  2 Sc 3.07-3.36, 4 Tb 3.18-3.36
Tb 0.8288 0.6576 0.7325  2 Sc 3.07-3.36, 4 Tb 3.18-3.36
Tb 0.1712 0.8288 0.2674  2 Sc 3.07-3.36, 4 Tb 3.18-3.36
La 0.3333 0.6667 0.9304  4 Sc 3.75-3.84, 9 Tb 3.85-3.91, 3 La 4.03
La 0.6667 0.3333 0.0696  4 Sc 3.75-3.84, 9 Tb 3.85-3.91, 3 La 4.03

Computed properties:
Crystal system ... trigonal
E_form ... 0.292 eV/atom
Calculated total energy ... -4.955 eV per atom
Symmetry ... No. 164
E above lowest polymorph ... 0.137 eV per atom

=====

12.
# La2Tb3Sc

La2Tb3Sc after structural relaxation (PBE-GGA, Alexandria).

a b c (Å): 5.0511 10.1809 9.4539
angles (deg): 122.58 105.49 90.00
Last column: nearest neighbours and their distance in Å.
Fractional coordinates of all 12 atoms:
Tb 0.1636 0.9136 0.3271  4 Tb 3.53-3.63, 2 Sc 3.55, 6 La 3.58-3.66
Tb 0.8364 0.0864 0.6729  4 Tb 3.53-3.63, 2 Sc 3.55, 6 La 3.58-3.66
Tb 0.5000 0.2500 0.0000  4 La 3.53, 4 Tb 3.53, 4 Sc 3.59
Tb 0.1636 0.4136 0.3271  4 Tb 3.53-3.63, 2 Sc 3.55, 6 La 3.58-3.66
Tb 0.5000 0.7500 0.0000  4 La 3.53, 4 Tb 3.53, 4 Sc 3.59
Tb 0.8364 0.5864 0.6729  4 Tb 3.53-3.63, 2 Sc 3.55, 6 La 3.58-3.66
La 0.6618 0.1622 0.3244  2 Sc 3.52, 8 Tb 3.53-3.66, 2 La 3.66
La 0.3374 0.3378 0.6756  2 Sc 3.52, 8 Tb 3.53-3.66, 2 La 3.66
La 0.3382 0.8378 0.6756  2 Sc 3.52, 8 Tb 3.53-3.66, 2 La 3.66
La 0.6626 0.6622 0.3244  2 Sc 3.52, 8 Tb 3.53-3.66, 2 La 3.66
Sc 0.0000 0.0000 0.0000  4 La 3.52, 8 Tb 3.55-3.59
Sc 0.0000 0.5000 0.0000  4 La 3.52, 8 Tb 3.55-3.59

Computed properties:
Crystal system ... orthorhombic
E_form ... 0.051 eV/atom
Calculated total energy ... -4.962 eV per atom
Symmetry ... No. 65
E above lowest polymorph ... 0.000 eV per atom